Here is ThNiSb after structural relaxation from Alexandria. Energies are from GGA-PBE.

Cell: 5.278 4.197 6.598 Å, 90.00 99.43 90.00°
Atoms (fractional coordinates):
Th 0.197 0.250 0.228
Th 0.803 0.750 0.772
Ni 0.335 0.750 0.968
Ni 0.665 0.250 0.032
Sb 0.278 0.250 0.728
Sb 0.722 0.750 0.272

Properties
- ΔE_f (raw): -723 meV/atom
- Symmetry: P2_1/m (11)
- Uncorrected energy: -6.4971 eV per atom
- Total magnetic moment: 0.00 μB per formula unit